Entry 1:
Computed, not measured: a relaxed structure of La2ZrTaAu at the PBE level of DFT.

```
La2ZrTaAu
1.0
5.714 0.000 0.000
0.000 5.714 0.000
0.000 0.000 4.918
La Zr Ta Au
2 1 1 1
direct
0.000 0.500 0.000
0.500 0.000 0.000
0.000 0.000 0.000
0.000 0.000 0.500
0.500 0.500 0.500
```

Results
* E_form: 0.893 eV/atom

Entry 2:
Computed, not measured: a relaxed structure of VRhSCl2 at the PBE level of DFT.

```
VRhSCl2
1.0
4.670 0.000 0.000
0.000 4.670 0.000
0.000 0.000 4.783
V Rh S Cl
1 1 1 2
direct
0.000 0.000 0.000
0.500 0.500 0.500
0.500 0.500 0.000
0.000 0.500 0.500
0.500 0.000 0.500
```

Results
* excess energy over the best structure of this formula in the dataset: 0.262 eV per atom

Entry 3:
Computed, not measured: a relaxed structure of MgGaS3 at the PBE level of DFT.

```
MgGaS3
1.0
4.702 0.000 0.000
0.000 4.702 0.000
0.000 0.000 4.702
Mg Ga S
1 1 3
direct
0.000 0.000 0.000
0.500 0.500 0.500
0.000 0.500 0.500
0.500 0.000 0.500
0.500 0.500 0.000
```

Results
* excess energy over the best structure of this formula in the dataset: 0.496 eV per atom

Entry 4:
Computed, not measured: a relaxed structure of Hg2Ir at the PBE level of DFT.

```
Hg2Ir
1.0
6.452 0.000 0.000
0.000 6.452 0.000
0.000 0.000 6.452
Hg Ir
8 4
direct
0.250 0.250 0.250
0.250 0.250 0.750
0.250 0.750 0.250
0.250 0.750 0.750
0.750 0.250 0.250
0.750 0.250 0.750
0.750 0.750 0.250
0.750 0.750 0.750
0.000 0.000 0.000
0.000 0.500 0.500
0.500 0.000 0.500
0.500 0.500 0.000
```

Results
* E_form: 0.543 eV/atom

Which formula does entry 4 have? Hg2Ir